[1]
Below is GdScGaSn after structural relaxation, with properties calculated at the PBE level.

Output
E (eV per atom): -7.39
Mass density (g/cm3): 6.90
Energy of formation from the pure elements (eV/atom): -0.526
V (Å³/cell): 376.18

Cell lengths 7.2188, 7.2188, 7.2188 Å; angles 90.00, 90.00, 90.00 degrees
Space group F-43m (No. 216)
One atom of each set of equivalent atoms:
Gd: 0.0000 0.0000 0.0000 [4 per cell]
Sc: 0.0000 0.0000 0.5000 [4 per cell]
Ga: 0.2500 0.2500 0.2500 [4 per cell]
Sn: 0.2500 0.2500 0.7500 [4 per cell]

---

[2]
Below is GdScGaTc after structural relaxation, with properties calculated at the PBE level.

Output
E (eV per atom): -8.73
Mass density (g/cm3): 7.72
Energy of formation from the pure elements (eV/atom): -0.275
V (Å³/cell): 318.33

Cell lengths 6.8280, 6.8280, 6.8280 Å; angles 90.00, 90.00, 90.00 degrees
Space group F-43m (No. 216)
One atom of each set of equivalent atoms:
Gd: 0.0000 0.0000 0.0000 [4 per cell]
Sc: 0.0000 0.0000 0.5000 [4 per cell]
Ga: 0.2500 0.2500 0.7500 [4 per cell]
Tc: 0.2500 0.2500 0.2500 [4 per cell]

---

[3]
Below is GdTmScGa after structural relaxation, with properties calculated at the PBE level.

Output
E (eV per atom): -7.12
Mass density (g/cm3): 7.41
Energy of formation from the pure elements (eV/atom): -0.147
V (Å³/cell): 395.39

Cell lengths 7.3396, 7.3396, 7.3396 Å; angles 90.00, 90.00, 90.00 degrees
Space group F-43m (No. 216)
One atom of each set of equivalent atoms:
Gd: 0.0000 0.0000 0.0000 [4 per cell]
Tm: 0.0000 0.0000 0.5000 [4 per cell]
Sc: 0.2500 0.2500 0.2500 [4 per cell]
Ga: 0.2500 0.2500 0.7500 [4 per cell]

---

[4]
Below is GdScZnGa after structural relaxation, with properties calculated at the PBE level.

Output
E (eV per atom): -6.65
Mass density (g/cm3): 6.61
Energy of formation from the pure elements (eV/atom): -0.476
V (Å³/cell): 338.84

Cell lengths 6.9716, 6.9716, 6.9716 Å; angles 90.00, 90.00, 90.00 degrees
Space group F-43m (No. 216)
One atom of each set of equivalent atoms:
Gd: 0.0000 0.0000 0.0000 [4 per cell]
Sc: 0.0000 0.0000 0.5000 [4 per cell]
Zn: 0.2500 0.2500 0.7500 [4 per cell]
Ga: 0.2500 0.2500 0.2500 [4 per cell]

---

[5]
Below is Gd3Ga5Se12 after structural relaxation, with properties calculated at the PBE level.

Output
E (eV per atom): -5.97
Mass density (g/cm3): 5.79
Energy relative to the elements, uncorrected (meV/atom): -1015
V (Å³/cell): 4056.92

Cell lengths 15.9489, 15.9489, 15.9489 Å; angles 90.00, 90.00, 90.00 degrees
Space group Ia-3d (No. 230)
One atom of each set of equivalent atoms:
Gd: 0.0000 0.2500 0.1250 [24 per cell]
Ga: 0.0000 0.0000 0.0000 [16 per cell]
Ga: 0.0000 0.2500 0.3750 [24 per cell]
Se: 0.0257 0.0598 0.6503 [96 per cell]

---

[6]
Below is GdGa2Si after structural relaxation, with properties calculated at the PBE level.

Output
E (eV per atom): -6.83
Mass density (g/cm3): 7.01
Energy relative to the elements, uncorrected (meV/atom): -438
V (Å³/cell): 76.94

Cell lengths 4.1908, 4.1908, 4.3806 Å; angles 90.00, 90.00, 90.00 degrees
Space group P4/mmm (No. 123)
One atom of each set of equivalent atoms:
Gd: 0.0000 0.0000 0.0000 [1 per cell]
Ga: 0.0000 0.5000 0.5000 [2 per cell]
Si: 0.5000 0.5000 0.0000 [1 per cell]

---

[7]
Below is GdGaSi2 after structural relaxation, with properties calculated at the PBE level.

Output
E (eV per atom): -7.32
Mass density (g/cm3): 6.33
Energy relative to the elements, uncorrected (meV/atom): -329
V (Å³/cell): 74.33

Cell lengths 4.2220, 4.2220, 4.1698 Å; angles 90.00, 90.00, 90.00 degrees
Space group P4/mmm (No. 123)
One atom of each set of equivalent atoms:
Gd: 0.0000 0.0000 0.0000 [1 per cell]
Ga: 0.5000 0.5000 0.0000 [1 per cell]
Si: 0.0000 0.5000 0.5000 [2 per cell]

---

[8]
Below is GdGaSi2 after structural relaxation, with properties calculated at the PBE level.

Output
E (eV per atom): -7.24
Mass density (g/cm3): 5.96
Energy relative to the elements, uncorrected (meV/atom): -254
V (Å³/cell): 236.47

Cell lengths 4.3261, 4.3261, 14.5899 Å; angles 90.00, 90.00, 120.00 degrees
Space group R-3m (No. 166, hexagonal axes)
One atom of each set of equivalent atoms:
Gd: 0.0000 0.0000 0.0000 [3 per cell]
Ga: 0.0000 0.0000 0.5000 [3 per cell]
Si: 0.0000 0.0000 0.2094 [6 per cell]

---

> What is the mass density in the sixth record?

7.01 g/cm3

---

> What is the E in the fourth record?

-6.65 eV per atom

---

> Which formula does entry 7 have?

GdGaSi2